## YSc5Ga3 (PBE)

Data for crystalline YSc5Ga3 at its relaxed geometry.

a = 6.2324 Å, b = 8.4474 Å, c = 8.4472 Å
α = 120.00°, β = 90.00°, γ = 90.00°
With the nearest neighbours (Å) after each atom.
Atoms (fractional coordinates):
Y: 0.0000 0.0000 0.0000  2 Y 3.12, 6 Ga 3.22, 6 Sc 3.26
Y: 0.5000 0.0000 0.0000  2 Y 3.12, 6 Ga 3.22, 6 Sc 3.26
Sc: 0.0000 0.6667 0.3334  8 Sc 3.12-3.20, 6 Ga 3.22
Sc: 0.5000 0.3333 0.6666  8 Sc 3.12-3.20, 6 Ga 3.22
Sc: 0.0000 0.3333 0.6666  8 Sc 3.12-3.20, 6 Ga 3.22
Sc: 0.5000 0.6667 0.3334  8 Sc 3.12-3.20, 6 Ga 3.22
Sc: 0.7500 0.6605 0.6605  3 Ga 2.76-2.84
Sc: 0.7500 0.0000 0.3395  3 Ga 2.76-2.84
Sc: 0.7500 0.3395 0.0000  3 Ga 2.76-2.84
Sc: 0.2500 0.3395 0.3395  3 Ga 2.76-2.84
Sc: 0.2500 0.0000 0.6605  3 Ga 2.76-2.84
Sc: 0.2500 0.6605 0.0000  3 Ga 2.76-2.84
Ga: 0.7500 0.3339 0.3339  3 Sc 2.76-2.84
Ga: 0.7500 0.0000 0.6661  3 Sc 2.76-2.84
Ga: 0.7500 0.6661 0.0000  3 Sc 2.76-2.84
Ga: 0.2500 0.6661 0.6661  3 Sc 2.76-2.84
Ga: 0.2500 0.0000 0.3339  3 Sc 2.76-2.84
Ga: 0.2500 0.3339 0.0000  3 Sc 2.76-2.84

Properties
The total magnetic moment comes out at 0.08 μB per formula unit. The value obtained for the formation energy is -4.14 eV per formula unit.

## KAuBr2 (PBE)

Data for crystalline KAuBr2 at its relaxed geometry.

a = 7.3330 Å, b = 7.3330 Å, c = 7.3330 Å
α = 35.58°, β = 35.58°, γ = 35.58°
With the nearest neighbours (Å) after each atom.
Atoms (fractional coordinates):
Au: 0.7500 0.7500 0.7500  6 Br 2.95
Br: 0.0144 0.0144 0.0144  3 Au 2.95, 3 K 3.28
Br: 0.4856 0.4856 0.4856  3 Au 2.95, 3 K 3.28
K: 0.2500 0.2500 0.2500  6 Br 3.28

Properties
The total magnetic moment comes out at 0.00 μB per formula unit. The value obtained for the energy above the most stable polymorph in this dataset is 210 meV per atom. Its formation energy from raw total energies is -0.721 eV/atom.

## LuBiAu2 (PBE)

Data for crystalline LuBiAu2 at its relaxed geometry.

a = 3.8272 Å, b = 3.8272 Å, c = 8.3258 Å
α = 76.71°, β = 76.71°, γ = 60.00°
With the nearest neighbours (Å) after each atom.
Atoms (fractional coordinates):
Lu: 0.0000 0.0000 0.0000  6 Au 2.88
Au: 0.2566 0.2566 0.2301  3 Lu 2.88, 3 Bi 3.09
Au: 0.7434 0.7434 0.7699  3 Lu 2.88, 3 Bi 3.09
Bi: 0.5000 0.5000 0.5000  6 Au 3.09

Properties
The total magnetic moment comes out at 0.00 μB per formula unit. The value obtained for the formation energy is -1.82 eV per formula unit.

| no. | VASP energy (eV/atom) |
| --- | --- |
| 1 | -5.705 |
| 2 | -2.651 |
| 3 | -4.195 |